PBE-GGA Te2HPd6, optimized geometry; space group = No. 136
1.0
4.9964 0.0000 0.0000
0.0000 4.9964 0.0000
0.0000 0.0000 12.7475
Te H Pd
4 2 12
Direct
0.0000 0.0000 0.2166 Te
0.0000 0.0000 0.7834 Te
0.5000 0.5000 0.2834 Te
0.5000 0.5000 0.7166 Te
0.0000 0.0000 0.5000 H
0.5000 0.5000 0.0000 H
0.2001 0.2001 0.0000 Pd
0.1997 0.1997 0.3908 Pd
0.1997 0.1997 0.6092 Pd
0.3003 0.6997 0.1092 Pd
0.2999 0.7001 0.5000 Pd
0.3003 0.6997 0.8908 Pd
0.6997 0.3003 0.1092 Pd
0.7001 0.2999 0.5000 Pd
0.6997 0.3003 0.8908 Pd
0.7999 0.7999 0.0000 Pd
0.8003 0.8003 0.3908 Pd
0.8003 0.8003 0.6092 Pd



PBE-GGA TeH2Pd6, optimized geometry; space group = No. 12
1.0
5.6662 -1.8469 0.0000
5.6662 1.8469 0.0000
-4.9173 0.0000 6.1936
Te H Pd
1 2 6
Direct
0.0000 0.0000 0.0000 Te
0.1618 0.1618 0.6327 H
0.8382 0.8382 0.3673 H
0.0072 0.0072 0.6768 Pd
0.2849 0.2849 0.3833 Pd
0.3209 0.3209 0.9622 Pd
0.6791 0.6791 0.0378 Pd
0.7151 0.7151 0.6167 Pd
0.9928 0.9928 0.3232 Pd



PBE-GGA TeH2Pd8, optimized geometry; space group = No. 12
1.0
3.4821 -5.3105 0.0000
3.4821 5.3105 0.0000
-1.1457 0.0000 4.2778
Te H Pd
1 2 8
Direct
0.0000 0.0000 0.0000 Te
0.2367 0.7633 0.5000 H
0.7633 0.2367 0.5000 H
0.0782 0.3389 0.5926 Pd
0.2487 0.7513 0.0000 Pd
0.3389 0.0782 0.5926 Pd
0.3902 0.3902 0.1981 Pd
0.6098 0.6098 0.8019 Pd
0.6611 0.9218 0.4074 Pd
0.7513 0.2487 0.0000 Pd
0.9218 0.6611 0.4074 Pd



PBE-GGA TeH2Pd, optimized geometry; space group = No. 122; E above lowest polymorph = 0.000 kcal/mol of atoms
1.0
-2.6423 2.6423 3.9021
2.6423 -2.6423 3.9021
2.6423 2.6423 -3.9021
Te H Pd
2 4 2
Direct
0.0000 0.0000 0.0000 Te
0.7500 0.2500 0.5000 Te
0.2960 0.1250 0.6710 H
0.3750 0.7040 0.8290 H
0.4540 0.6250 0.3290 H
0.8750 0.5460 0.1710 H
0.2500 0.7500 0.5000 Pd
0.5000 0.5000 0.0000 Pd



PBE-GGA TeHPd5, optimized geometry; space group = No. 74
1.0
-3.8287 3.8434 3.8374
3.8287 -3.8434 3.8374
3.8287 3.8434 -3.8374
Te H Pd
2 2 10
Direct
0.3154 0.0654 0.2500 Te
0.6846 0.9346 0.7500 Te
0.0000 0.5000 0.5000 H
0.5000 0.5000 0.0000 H
0.0000 0.2442 0.2442 Pd
0.0000 0.7558 0.7558 Pd
0.1746 0.7473 0.4273 Pd
0.1800 0.2527 0.9273 Pd
0.3309 0.5809 0.7500 Pd
0.5000 0.2442 0.7442 Pd
0.5000 0.7558 0.2558 Pd
0.6691 0.4191 0.2500 Pd
0.8200 0.7473 0.0727 Pd
0.8254 0.2527 0.5727 Pd



PBE-GGA TeH2Pd, optimized geometry; space group = No. 225; E above lowest polymorph = 9.074 kcal/mol of atoms
1.0
0.0000 2.8851 2.8851
2.8851 0.0000 2.8851
2.8851 2.8851 0.0000
Te H Pd
1 2 1
Direct
0.0000 0.0000 0.0000 Te
0.2500 0.2500 0.2500 H
0.7500 0.7500 0.7500 H
0.5000 0.5000 0.5000 Pd



PBE-GGA TlTe2H2Pd7, optimized geometry; space group = No. 12
1.0
2.8845 -2.8815 0.0000
2.8845 2.8815 0.0000
-2.7659 0.0000 11.1910
Tl Te H Pd
1 2 2 7
Direct
0.0000 0.0000 0.0000 Tl
0.1828 0.1828 0.3832 Te
0.8172 0.8172 0.6168 Te
0.4144 0.4144 0.8283 H
0.5856 0.5856 0.1717 H
0.0894 0.5893 0.1893 Pd
0.3246 0.3246 0.6261 Pd
0.4107 0.9106 0.8107 Pd
0.5000 0.5000 0.0000 Pd
0.5893 0.0894 0.1893 Pd
0.6754 0.6754 0.3739 Pd
0.9106 0.4107 0.8107 Pd



PBE-GGA VTeHPd2, optimized geometry; space group = No. 123
1.0
4.0158 0.0000 0.0000
0.0000 4.0158 0.0000
0.0000 0.0000 4.3778
V Te H Pd
1 1 1 2
Direct
0.0000 0.0000 0.0000 V
0.5000 0.5000 0.0000 Te
0.0000 0.0000 0.5000 H
0.0000 0.5000 0.5000 Pd
0.5000 0.0000 0.5000 Pd



PBE-GGA ZnTe2H2Pd7, optimized geometry; space group = No. 12
1.0
2.8433 -2.8460 0.0000
2.8433 2.8460 0.0000
-2.7843 0.0000 10.9836
Zn Te H Pd
1 2 2 7
Direct
0.0000 0.0000 0.0000 Zn
0.1846 0.1846 0.3769 Te
0.8154 0.8154 0.6231 Te
0.4163 0.4163 0.8298 H
0.5837 0.5837 0.1702 H
0.0885 0.5883 0.1805 Pd
0.3171 0.3171 0.6255 Pd
0.4117 0.9115 0.8195 Pd
0.5000 0.5000 0.0000 Pd
0.5883 0.0885 0.1805 Pd
0.6829 0.6829 0.3745 Pd
0.9115 0.4117 0.8195 Pd



PBE-GGA ZrTe2HPd, optimized geometry; space group = No. 123
1.0
5.5317 0.0000 0.0000
0.0000 5.5317 0.0000
0.0000 0.0000 3.8180
Zr Te H Pd
1 2 1 1
Direct
0.0000 0.0000 0.0000 Zr
0.0000 0.5000 0.0000 Te
0.5000 0.0000 0.0000 Te
0.0000 0.0000 0.5000 H
0.5000 0.5000 0.5000 Pd



no.,electronic total energy (eV/atom)
1,-4.64
2,-4.61
3,-4.65
4,-3.46
5,-4.69
6,-3.07
7,-4.53
8,-5.31
9,-4.48
10,-4.69